1.
Density functional theory data (PBE) for a relaxed structure of HgBiCl2.

Computed properties:
The value obtained for the theoretical density is 4.4 Mg/m³. The total magnetic moment comes out at 0.000 μB/cell. Its energy above the lowest structure with this stoichiometry is 0.0 meV/atom. The electronic total energy is -2.499 eV per atom.

Unit cell a=7.6662 b=7.7136 c=6.2396 alpha=90.00 beta=98.13 gamma=90.00
Closest atoms and distances in Å follow each position.
Positions (direct):
Hg: 0.0000 0.0000 0.0000  2 Bi 3.13
Hg: 0.5000 0.5000 0.0000  2 Bi 3.13
Bi: 0.0000 0.0254 0.5000  4 Cl 2.67-2.84
Bi: 0.5000 0.5254 0.5000  4 Cl 2.67-2.84
Cl: 0.2427 0.2903 0.4300  2 Bi 2.67-2.84
Cl: 0.2573 0.7903 0.5700  2 Bi 2.67-2.84
Cl: 0.7427 0.7903 0.4300  2 Bi 2.67-2.84
Cl: 0.7573 0.2903 0.5700  2 Bi 2.67-2.84

---

2.
Density functional theory data (PBE) for a relaxed structure of HgBiCl3.

Computed properties:
The value obtained for the theoretical density is 5.4 Mg/m³. The total magnetic moment comes out at 0.000 μB/cell. Its energy above the lowest structure with this stoichiometry is 36.7 meV/atom. The electronic total energy is -2.669 eV per atom.

Unit cell a=5.8159 b=8.7600 c=6.1798 alpha=90.00 beta=91.13 gamma=90.00
Closest atoms and distances in Å follow each position.
Positions (direct):
Hg: 0.1121 0.2500 0.1854  1 Cl 2.53, 1 Bi 2.81
Hg: 0.8879 0.7500 0.8146  1 Cl 2.53, 1 Bi 2.81
Bi: 0.4111 0.2500 0.5481  5 Cl 2.76-3.00, 1 Hg 2.81
Bi: 0.5889 0.7500 0.4519  5 Cl 2.76-3.00, 1 Hg 2.81
Cl: 0.0285 0.7500 0.2046  1 Hg 2.53
Cl: 0.3271 0.5561 0.6979  2 Bi 2.76-2.88
Cl: 0.3271 0.9439 0.6979  2 Bi 2.76-2.88
Cl: 0.6729 0.0561 0.3021  2 Bi 2.76-2.88
Cl: 0.6729 0.4439 0.3021  2 Bi 2.76-2.88
Cl: 0.9715 0.2500 0.7954  1 Hg 2.53

---

3.
Density functional theory data (PBE) for a relaxed structure of Hg2BiCl2.

Computed properties:
The value obtained for the theoretical density is 6.4 Mg/m³. The total magnetic moment comes out at 1.441 μB/cell. Its energy above the lowest structure with this stoichiometry is 0.0 meV/atom. The electronic total energy is -1.945 eV per atom.

Unit cell a=7.3126 b=7.3126 c=6.6433 alpha=90.00 beta=90.00 gamma=90.00
Closest atoms and distances in Å follow each position.
Positions (direct):
Hg: 0.1638 0.3362 0.0000  1 Hg 3.39, 2 Cl 3.75
Hg: 0.3362 0.8362 0.0000  1 Hg 3.39, 2 Cl 3.75
Hg: 0.6638 0.1638 0.0000  1 Hg 3.39, 2 Cl 3.75
Hg: 0.8362 0.6638 0.0000  1 Hg 3.39, 2 Cl 3.75
Bi: 0.0000 0.0000 0.5000  4 Cl 2.72
Bi: 0.5000 0.5000 0.5000  4 Cl 2.72
Cl: 0.1686 0.6686 0.5000  2 Bi 2.72
Cl: 0.3314 0.1686 0.5000  2 Bi 2.72
Cl: 0.6686 0.8314 0.5000  2 Bi 2.72
Cl: 0.8314 0.3314 0.5000  2 Bi 2.72

---

4.
Density functional theory data (PBE) for a relaxed structure of Hg3Bi5Cl12.

Computed properties:
The value obtained for the theoretical density is 4.1 Mg/m³. The total magnetic moment comes out at 0.002 μB/cell. The electronic total energy is -2.675 eV per atom.

Unit cell a=16.3579 b=16.3579 c=16.3579 alpha=109.47 beta=109.47 gamma=109.47
Closest atoms and distances in Å follow each position.
Positions (direct):
Hg: 0.1250 0.2500 0.3750  8 Cl 3.86-4.15
Hg: 0.1250 0.3750 0.7500  8 Cl 3.86-4.15
Hg: 0.2500 0.3750 0.1250  8 Cl 3.86-4.15
Hg: 0.2500 0.8750 0.6250  8 Cl 3.86-4.15
Hg: 0.3750 0.1250 0.2500  8 Cl 3.86-4.15
Hg: 0.3750 0.7500 0.1250  8 Cl 3.86-4.15
Hg: 0.6250 0.2500 0.8750  8 Cl 3.86-4.15
Hg: 0.6250 0.8750 0.7500  8 Cl 3.86-4.15
Hg: 0.7500 0.1250 0.3750  8 Cl 3.86-4.15
Hg: 0.7500 0.6250 0.8750  8 Cl 3.86-4.15
Hg: 0.8750 0.6250 0.2500  8 Cl 3.86-4.15
Hg: 0.8750 0.7500 0.6250  8 Cl 3.86-4.15
Bi: 0.0000 0.0000 0.0000  6 Cl 2.84
Bi: 0.0000 0.0000 0.5000  6 Cl 2.84
Bi: 0.0000 0.5000 0.0000  6 Cl 2.84
Bi: 0.0000 0.5000 0.5000  6 Cl 2.84
Bi: 0.1250 0.7500 0.8750  4 Cl 2.68
Bi: 0.1250 0.8750 0.2500  4 Cl 2.68
Bi: 0.2500 0.1250 0.8750  4 Cl 2.68
Bi: 0.2500 0.6250 0.3750  4 Cl 2.68
Bi: 0.3750 0.2500 0.6250  4 Cl 2.68
Bi: 0.3750 0.6250 0.7500  4 Cl 2.68
Bi: 0.5000 0.0000 0.0000  6 Cl 2.84
Bi: 0.5000 0.0000 0.5000  6 Cl 2.84
Bi: 0.5000 0.5000 0.0000  6 Cl 2.84
Bi: 0.5000 0.5000 0.5000  6 Cl 2.84
Bi: 0.6250 0.3750 0.2500  4 Cl 2.68
Bi: 0.6250 0.7500 0.3750  4 Cl 2.68
Bi: 0.7500 0.3750 0.6250  4 Cl 2.68
Bi: 0.7500 0.8750 0.1250  4 Cl 2.68
Bi: 0.8750 0.1250 0.7500  4 Cl 2.68
Bi: 0.8750 0.2500 0.1250  4 Cl 2.68
Cl: 0.0084 0.6828 0.1047  2 Bi 2.68-2.84
Cl: 0.0084 0.8256 0.9036  2 Bi 2.68-2.84
Cl: 0.0781 0.6744 0.6828  2 Bi 2.68-2.84
Cl: 0.0781 0.9036 0.3953  2 Bi 2.68-2.84
Cl: 0.0964 0.6047 0.9219  2 Bi 2.68-2.84
Cl: 0.0964 0.9916 0.1744  2 Bi 2.68-2.84
Cl: 0.1047 0.0084 0.6828  2 Bi 2.68-2.84
Cl: 0.1047 0.5964 0.4219  2 Bi 2.68-2.84
Cl: 0.1744 0.0964 0.9916  2 Bi 2.68-2.84
Cl: 0.1744 0.5781 0.1828  2 Bi 2.68-2.84
Cl: 0.1828 0.1744 0.5781  2 Bi 2.68-2.84
Cl: 0.1828 0.5084 0.6047  2 Bi 2.68-2.84
Cl: 0.3172 0.8953 0.9916  2 Bi 2.68-2.84
Cl: 0.3172 0.9219 0.3256  2 Bi 2.68-2.84
Cl: 0.3256 0.3172 0.9219  2 Bi 2.68-2.84
Cl: 0.3256 0.5084 0.4036  2 Bi 2.68-2.84
Cl: 0.3953 0.0781 0.9036  2 Bi 2.68-2.84
Cl: 0.3953 0.8172 0.4916  2 Bi 2.68-2.84
Cl: 0.4036 0.3256 0.5084  2 Bi 2.68-2.84
Cl: 0.4036 0.5781 0.8953  2 Bi 2.68-2.84
Cl: 0.4219 0.1047 0.5964  2 Bi 2.68-2.84
Cl: 0.4219 0.8172 0.8256  2 Bi 2.68-2.84
Cl: 0.4916 0.3953 0.8172  2 Bi 2.68-2.84
Cl: 0.4916 0.5964 0.6744  2 Bi 2.68-2.84
Cl: 0.5084 0.4036 0.3256  2 Bi 2.68-2.84
Cl: 0.5084 0.6047 0.1828  2 Bi 2.68-2.84
Cl: 0.5781 0.1828 0.1744  2 Bi 2.68-2.84
Cl: 0.5781 0.8953 0.4036  2 Bi 2.68-2.84
Cl: 0.5964 0.4219 0.1047  2 Bi 2.68-2.84
Cl: 0.5964 0.6744 0.4916  2 Bi 2.68-2.84
Cl: 0.6047 0.1828 0.5084  2 Bi 2.68-2.84
Cl: 0.6047 0.9219 0.0964  2 Bi 2.68-2.84
Cl: 0.6744 0.4916 0.5964  2 Bi 2.68-2.84
Cl: 0.6744 0.6828 0.0781  2 Bi 2.68-2.84
Cl: 0.6828 0.0781 0.6744  2 Bi 2.68-2.84
Cl: 0.6828 0.1047 0.0084  2 Bi 2.68-2.84
Cl: 0.8172 0.4916 0.3953  2 Bi 2.68-2.84
Cl: 0.8172 0.8256 0.4219  2 Bi 2.68-2.84
Cl: 0.8256 0.4219 0.8172  2 Bi 2.68-2.84
Cl: 0.8256 0.9036 0.0084  2 Bi 2.68-2.84
Cl: 0.8953 0.4036 0.5781  2 Bi 2.68-2.84
Cl: 0.8953 0.9916 0.3172  2 Bi 2.68-2.84
Cl: 0.9036 0.0084 0.8256  2 Bi 2.68-2.84
Cl: 0.9036 0.3953 0.0781  2 Bi 2.68-2.84
Cl: 0.9219 0.0964 0.6047  2 Bi 2.68-2.84
Cl: 0.9219 0.3256 0.3172  2 Bi 2.68-2.84
Cl: 0.9916 0.1744 0.0964  2 Bi 2.68-2.84
Cl: 0.9916 0.3172 0.8953  2 Bi 2.68-2.84

---

5.
Density functional theory data (PBE) for a relaxed structure of HgBiCl.

Computed properties:
The value obtained for the theoretical density is 7.0 Mg/m³. The total magnetic moment comes out at 0.000 μB/cell. Its energy above the lowest structure with this stoichiometry is 3.1 meV/atom. The electronic total energy is -2.365 eV per atom.

Unit cell a=14.5706 b=4.4371 c=7.4710 alpha=90.00 beta=119.14 gamma=90.00
Closest atoms and distances in Å follow each position.
Positions (direct):
Hg: 0.0000 0.0000 0.0000  1 Cl 2.49, 1 Bi 2.78
Hg: 0.1764 0.5000 0.3514  1 Bi 3.15, 2 Cl 3.34, 2 Hg 3.44
Hg: 0.5000 0.5000 0.0000  1 Cl 2.49, 1 Bi 2.78
Hg: 0.6764 0.0000 0.3514  1 Bi 3.15, 2 Cl 3.34, 2 Hg 3.44
Bi: 0.3546 0.5000 0.1399  1 Hg 2.78, 2 Bi 3.10
Bi: 0.4885 0.0000 0.4465  1 Cl 2.64
Bi: 0.8546 0.0000 0.1399  1 Hg 2.78, 2 Bi 3.10
Bi: 0.9885 0.5000 0.4465  1 Cl 2.64
Cl: 0.1261 0.0000 0.8654  1 Hg 2.49
Cl: 0.3665 0.0000 0.6171  1 Bi 2.64
Cl: 0.6261 0.5000 0.8654  1 Hg 2.49
Cl: 0.8665 0.5000 0.6171  1 Bi 2.64

---

6.
Density functional theory data (PBE) for a relaxed structure of Hg6BiCl12.

Computed properties:
The value obtained for the theoretical density is 5.2 Mg/m³. The total magnetic moment comes out at 0.000 μB/cell. The electronic total energy is -1.984 eV per atom.

Unit cell a=8.8024 b=8.8024 c=8.8024 alpha=70.33 beta=70.33 gamma=70.33
Closest atoms and distances in Å follow each position.
Positions (direct):
Hg: 0.1072 0.4328 0.3054  3 Cl 2.54-2.69
Hg: 0.3054 0.1072 0.4328  3 Cl 2.54-2.69
Hg: 0.4328 0.3054 0.1072  3 Cl 2.54-2.69
Hg: 0.5672 0.6946 0.8928  3 Cl 2.54-2.69
Hg: 0.6946 0.8928 0.5672  3 Cl 2.54-2.69
Hg: 0.8928 0.5672 0.6946  3 Cl 2.54-2.69
Bi: 0.0000 0.0000 0.0000  6 Cl 2.74
Cl: 0.0216 0.3229 0.9163  1 Hg 2.60, 1 Bi 2.74
Cl: 0.0837 0.9784 0.6771  1 Hg 2.60, 1 Bi 2.74
Cl: 0.1685 0.5924 0.4817  2 Hg 2.54-2.69
Cl: 0.3229 0.9163 0.0216  1 Hg 2.60, 1 Bi 2.74
Cl: 0.4076 0.5183 0.8315  2 Hg 2.54-2.69
Cl: 0.4817 0.1685 0.5924  2 Hg 2.54-2.69
Cl: 0.5183 0.8315 0.4076  2 Hg 2.54-2.69
Cl: 0.5924 0.4817 0.1685  2 Hg 2.54-2.69
Cl: 0.6771 0.0837 0.9784  1 Hg 2.60, 1 Bi 2.74
Cl: 0.8315 0.4076 0.5183  2 Hg 2.54-2.69
Cl: 0.9163 0.0216 0.3229  1 Hg 2.60, 1 Bi 2.74
Cl: 0.9784 0.6771 0.0837  1 Hg 2.60, 1 Bi 2.74

---

Q: What is the theoretical density in the first record?
A: 4.4 Mg/m³